[1]
MgSc2P (PBE, optimized geometry); total DFT energy (no corrections) = -5.36 eV/atom; magnetic moment = 0.0 μB/f.u.; DOS at the Fermi energy = 0.98 states/eV/atom; offset from the most stable computed form = 102 kJ/mol of formula units; formation enthalpy at 0 K = -42.9 kJ per mole of atoms
1.0
2.072 0.000 9.204
-1.036 1.795 9.204
-1.036 -1.795 9.204
Sc P Mg
2 1 1
Cartesian
0.000 0.000 24.467
0.000 0.000 3.146
0.000 0.000 13.806
0.000 0.000 0.000

---

[2]
Ta2BeFe (PBE, optimized geometry); total DFT energy (no corrections) = -8.12 eV/atom; magnetic moment = 1.9 μB/f.u.; DOS at the Fermi energy = 0.66 states/eV/atom; formation enthalpy at 0 K = 82.4 kJ per mole of atoms
1.0
-7.292 -3.281 0.084
0.815 -1.611 7.791
-4.028 -0.681 4.385
Be Fe Ta
2 2 4
Cartesian
-3.239 -2.446 3.938
-3.226 -2.369 8.057
0.000 0.000 0.000
-7.280 -3.204 4.204
-4.530 -2.003 2.112
-2.342 -2.007 5.987
-5.346 -2.551 7.239
-8.793 -4.585 9.183